The following is a DFT calculation (PBE with a Hubbard U) of crystalline K3Mn2Cl3F4 at its relaxed geometry.

The total energy is -4.85 eV/atom. The calculation puts the volume at 21.58 Å³/atom.

It has space group Imm2 (No. 44), with a = 5.089 Å, b = 24.073 Å, c = 4.227 Å, α = 90.00°, β = 90.00° and γ = 90.00°. The asymmetric unit holds K at (0.000, 0.000, 0.000), K at (0.000, 0.195, 0.999), Mn at (0.000, 0.387, 0.001), Cl at (0.000, 0.103, 0.500), Cl at (0.000, 0.500, 0.001), F at (0.000, 0.300, 0.002) and F at (0.000, 0.385, 0.501).